Record 1
Crystalline ErIn6Hg at its relaxed geometry. Source: the Alexandria database, functional GGA-PBE.

- Electronic total energy: -22.29 eV/f.u.
- ΔH_f (0 K): -0.12 eV per atom

Unit cell a=4.6619 b=6.6543 c=6.6543 alpha=89.51 beta=90.00 gamma=90.00
Positions (direct):
In 0.0000 0.7491 0.2509
In 0.0000 0.2509 0.7491
Hg 0.5000 0.5000 0.5000
In 0.0000 0.7504 0.7504
In 0.0000 0.2496 0.2496
In 0.5000 0.0000 0.5000
Er 0.5000 0.0000 0.0000
In 0.5000 0.5000 0.0000

=====

Record 2
Crystalline SmAlZn2 at its relaxed geometry. Source: the Alexandria database, functional GGA-PBE.

- Electronic total energy: -11.71 eV/f.u.
- ΔH_f (0 K): -0.18 eV per atom

Unit cell a=3.5491 b=5.3125 c=5.3125 alpha=120.16 beta=90.00 gamma=90.00
Positions (direct):
Zn 0.5000 0.9450 0.5550
Al 0.5000 0.4450 0.5550
Zn 0.5000 0.4450 0.0550
Sm 0.0000 0.9450 0.0550

=====

Record 3
Crystalline Li3Sc3NbS8 at its relaxed geometry. Source: the Alexandria database, functional GGA-PBE.

- Electronic total energy: -91.46 eV/f.u.
- Formation energy without anion corrections: -23.635 eV per formula unit

Unit cell a=7.2915 b=7.2911 c=7.4494 alpha=119.32 beta=90.00 gamma=120.00
Site moments in Bohr magnetons follow the coordinates.
Positions (direct):
S 0.7583 0.5167 0.2629  0.00
Sc 0.0000 0.5000 0.5000  0.03
Li 0.5000 0.5000 0.0000  0.00
Li 0.0000 0.0000 0.0000  0.00
S 0.7540 0.9956 0.7371  0.00
Sc 0.5000 0.0000 0.5000  0.03
S 0.2460 0.0044 0.2629  0.00
S 0.7476 0.4951 0.7426  0.00
S 0.2524 0.5049 0.2574  0.00
S 0.2417 0.4833 0.7371  0.00
S 0.7583 0.0044 0.2629  0.00
Li 0.0000 0.5000 0.0000  0.00
Nb 0.0000 0.0000 0.5000  0.48
S 0.2417 0.9956 0.7371  0.00
Sc 0.5000 0.5000 0.5000  0.03

=====

Record 4
Crystalline YSiTe2 at its relaxed geometry. Source: the Alexandria database, functional GGA-PBE.

- Electronic total energy: -19.90 eV/f.u.
- Formation energy without anion corrections: -1.727 eV per formula unit

Unit cell a=7.4309 b=7.4309 c=7.4309 alpha=33.40 beta=33.40 gamma=33.40
Positions (direct):
Te 0.0081 0.0081 0.0081
Te 0.4919 0.4919 0.4919
Si 0.7500 0.7500 0.7500
Y 0.2500 0.2500 0.2500

=====

Record 5
Crystalline K2TiV2Te6 at its relaxed geometry. Source: the Alexandria database, functional GGA-PBE.

- Electronic total energy: -54.13 eV/f.u.
- Formation energy without anion corrections: -6.951 eV per formula unit

Unit cell a=6.8015 b=6.8015 c=8.8328 alpha=96.59 beta=96.59 gamma=119.53
Site moments in Bohr magnetons follow the coordinates.
Positions (direct):
Te 0.2743 0.2743 0.3000  -0.10
V 0.6498 0.3502 0.5000  1.94
K 0.8270 0.1730 0.0000  0.00
Te 0.0482 0.3909 0.6800  -0.08
Te 0.3909 0.0482 0.6800  -0.08
Te 0.9518 0.6091 0.3200  -0.08
Te 0.6091 0.9518 0.3200  -0.08
Te 0.7257 0.7257 0.7000  -0.10
V 0.3502 0.6498 0.5000  1.94
K 0.1730 0.8270 0.0000  0.00
Ti 0.0000 0.0000 0.5000  0.34

=====

Record 6
Crystalline NaGeBr2 at its relaxed geometry. Source: the Alexandria database, functional GGA-PBE.

- Electronic total energy: -11.36 eV/f.u.
- Formation energy without anion corrections: -2.078 eV per formula unit
- Polymorph energy (0 for the lowest one): 0.000 eV per atom

Unit cell a=5.8293 b=5.8293 c=9.1174 alpha=71.36 beta=71.36 gamma=90.00
Positions (direct):
Br 0.1094 0.6250 0.2500
Ge 0.7500 0.2500 0.5000
Ge 0.0000 0.0000 0.0000
Na 0.2500 0.7500 0.5000
Na 0.5000 0.5000 0.0000
Br 0.8750 0.8906 0.7500
Br 0.6406 0.1250 0.2500
Br 0.3750 0.3594 0.7500

=====

Record 7
Crystalline ZrTaGa at its relaxed geometry. Source: the Alexandria database, functional GGA-PBE.

- Electronic total energy: -23.90 eV/f.u.
- ΔH_f (0 K): -0.16 eV per atom
- Polymorph energy (0 for the lowest one): 0.232 eV per atom

Unit cell a=6.4156 b=6.2123 c=6.2123 alpha=74.02 beta=81.50 gamma=81.50
Positions (direct):
Ta 0.3405 0.6669 0.4169
Ga 0.9814 0.5306 0.2805
Zr 0.6942 0.3321 0.0820
Ta 0.3405 0.1669 0.9169
Ga 0.0186 0.9696 0.2195
Ta 0.6595 0.3331 0.5831
Ga 0.9814 0.0304 0.7805
Zr 0.3059 0.1680 0.4179
Zr 0.6941 0.8320 0.5821
Ga 0.0186 0.4694 0.7195
Ta 0.6595 0.8331 0.0831
Zr 0.3058 0.6679 0.9180

=====

Record 8
Crystalline TiNbS2 at its relaxed geometry. Source: the Alexandria database, functional GGA-PBE.

- Electronic total energy: -30.65 eV/f.u.
- Formation energy without anion corrections: -4.427 eV per formula unit
- Polymorph energy (0 for the lowest one): 0.000 eV per atom

Unit cell a=3.2918 b=5.7209 c=13.9720 alpha=90.00 beta=90.00 gamma=90.00
Positions (direct):
S 0.7500 0.7567 0.6883
Ti 0.2500 0.4451 0.9138
Nb 0.2500 0.9192 0.8100
Ti 0.2500 0.9451 0.5862
S 0.2500 0.2433 0.3117
Nb 0.7500 0.5808 0.3100
S 0.7500 0.2567 0.8117
Nb 0.2500 0.4192 0.6900
Ti 0.7500 0.0549 0.4138
S 0.2500 0.7410 0.4336
S 0.2500 0.2410 0.0664
S 0.7500 0.7590 0.9336
Nb 0.7500 0.0808 0.1900
Ti 0.7500 0.5549 0.0862
S 0.7500 0.2590 0.5664
S 0.2500 0.7433 0.1883

=====

- Look up the electronic total energy of the fourth one.
  -19.90 eV/f.u.

=====

- Which value of electronic total energy does entry 6 give?
  -11.36 eV/f.u.

=====

- Look up the electronic total energy of the third one.
  -91.46 eV/f.u.

=====

Copy entry 4 word for word.
Crystalline YSiTe2 at its relaxed geometry. Source: the Alexandria database, functional GGA-PBE.

- Electronic total energy: -19.90 eV/f.u.
- Formation energy without anion corrections: -1.727 eV per formula unit

Unit cell a=7.4309 b=7.4309 c=7.4309 alpha=33.40 beta=33.40 gamma=33.40
Positions (direct):
Te 0.0081 0.0081 0.0081
Te 0.4919 0.4919 0.4919
Si 0.7500 0.7500 0.7500
Y 0.2500 0.2500 0.2500